No. 1
A plane-wave DFT calculation with PBE was carried out for an optimized crystal structure of Sr12Cd5Pd3.

Geometry as POSCAR:
```
Sr12Cd5Pd3
1.0
-2.842 -12.210 10.614
15.593 4.966 1.415
-10.065 12.559 3.280
Sr Cd Pd
48 20 12
Direct
0.232 0.562 0.629
0.933 0.830 0.562
0.371 0.433 0.103
0.897 0.067 0.629
0.103 0.170 0.232
0.438 0.768 0.871
0.232 0.670 0.103
0.268 0.871 0.938
0.897 0.830 0.768
0.629 0.062 0.232
0.938 0.371 0.268
0.330 0.562 0.433
0.732 0.603 0.170
0.433 0.062 0.330
0.371 0.938 0.768
0.938 0.567 0.170
0.830 0.897 0.268
0.670 0.438 0.567
0.330 0.768 0.397
0.170 0.103 0.732
0.871 0.268 0.438
0.732 0.129 0.062
0.670 0.232 0.603
0.562 0.330 0.933
0.567 0.938 0.670
0.062 0.629 0.732
0.603 0.871 0.433
0.129 0.397 0.067
0.768 0.330 0.897
0.567 0.629 0.397
0.768 0.438 0.371
0.562 0.232 0.129
0.871 0.603 0.933
0.129 0.732 0.562
0.170 0.067 0.938
0.103 0.933 0.371
0.603 0.732 0.670
0.438 0.670 0.067
0.397 0.268 0.330
0.067 0.170 0.438
0.067 0.897 0.129
0.830 0.933 0.062
0.433 0.371 0.603
0.933 0.103 0.871
0.629 0.567 0.897
0.397 0.129 0.567
0.062 0.433 0.830
0.268 0.397 0.830
0.000 0.500 0.000
0.875 0.625 0.750
0.250 0.875 0.125
0.625 0.875 0.250
0.500 0.500 0.000
0.750 0.625 0.375
0.750 0.125 0.875
0.625 0.750 0.875
0.500 0.000 0.500
0.375 0.125 0.750
0.125 0.375 0.250
0.125 0.750 0.375
0.250 0.375 0.625
0.375 0.250 0.125
0.500 0.000 0.000
0.500 0.500 0.500
0.875 0.250 0.625
0.000 0.000 0.000
0.000 0.000 0.500
0.000 0.500 0.500
0.750 0.375 0.125
0.375 0.625 0.250
0.250 0.125 0.375
0.750 0.875 0.625
0.250 0.625 0.875
0.125 0.875 0.750
0.375 0.750 0.625
0.625 0.250 0.375
0.875 0.750 0.125
0.625 0.375 0.750
0.875 0.125 0.250
0.125 0.250 0.875
```

## Properties
M_tot: 0.00 Bohr magnetons per cell
energy: -2.0469 eV/atom
ΔH_f (0 K): -0.60 eV per formula unit
symmetry: Ia-3d (230)

No. 2
A plane-wave DFT calculation with PBE was carried out for an optimized crystal structure of Sr4CdPd2.

Geometry as POSCAR:
```
Sr4CdPd2
1.0
-6.998 -3.118 1.944
1.592 -5.818 5.108
0.579 7.138 4.519
Cd Sr Pd
2 8 4
Direct
0.829 0.829 0.692
0.834 0.835 0.193
0.131 0.131 0.347
0.167 0.633 0.478
0.155 0.612 0.969
0.123 0.123 0.830
0.609 0.610 0.823
0.633 0.167 0.478
0.613 0.155 0.969
0.613 0.613 0.341
0.440 0.932 0.620
0.340 0.340 0.199
0.330 0.330 0.691
0.932 0.440 0.620
```

## Properties
M_tot: 0.00 Bohr magnetons per cell
polymorph energy (0 for the lowest one): 0.0 meV/atom
energy: -3.0264 eV/atom
ΔH_f (0 K): -3.16 eV per formula unit
symmetry: Cm (8)

No. 3
A plane-wave DFT calculation with PBE was carried out for an optimized crystal structure of Sr2CdPd.

Geometry as POSCAR:
```
Sr2CdPd
1.0
-2.556 2.748 2.705
0.043 -4.497 4.608
7.080 5.764 0.836
Cd Sr Pd
2 4 2
Direct
0.750 0.641 0.282
0.250 0.359 0.718
0.750 0.227 0.421
0.250 0.791 0.063
0.750 0.209 0.937
0.250 0.773 0.579
0.750 0.631 0.784
0.250 0.369 0.216
```

## Properties
M_tot: 0.00 Bohr magnetons per cell
energy: -2.8423 eV/atom
ΔH_f (0 K): -1.90 eV per formula unit
symmetry: P2_1/m (11)

No. 4
A plane-wave DFT calculation with PBE was carried out for an optimized crystal structure of SrCd4Pd.

Geometry as POSCAR:
```
SrCd4Pd
1.0
-3.922 3.561 -2.403
-5.675 -1.194 0.451
-3.403 3.286 3.384
Cd Sr Pd
4 1 1
Direct
0.626 0.121 0.626
0.121 0.626 0.626
0.626 0.626 0.626
0.626 0.626 0.121
0.250 0.250 0.250
0.000 0.000 0.000
```

## Properties
M_tot: 0.00 Bohr magnetons per cell
polymorph energy (0 for the lowest one): 139.3 meV/atom
energy: -1.9692 eV/atom
ΔH_f (0 K): -1.28 eV per formula unit
symmetry: F-43m (216)

No. 5
A plane-wave DFT calculation with PBE was carried out for an optimized crystal structure of Sr5CdPd2.

Geometry as POSCAR:
```
Sr5CdPd2
1.0
7.588 0.000 -3.582
-1.691 7.397 -3.582
-0.002 -0.002 9.824
Sr Cd Pd
10 2 4
Direct
0.300 0.800 0.268
0.500 0.500 0.000
0.000 0.000 0.000
0.700 0.200 0.732
0.033 0.533 0.732
0.967 0.467 0.268
0.533 0.700 0.732
0.800 0.967 0.268
0.467 0.300 0.268
0.200 0.033 0.732
0.750 0.750 0.500
0.250 0.250 0.500
0.625 0.125 0.000
0.125 0.375 0.000
0.375 0.875 0.000
0.875 0.625 0.000
```

## Properties
M_tot: 0.00 Bohr magnetons per cell
energy: -2.9171 eV/atom
ΔH_f (0 K): -3.63 eV per formula unit
symmetry: I4/mcm (140)

No. 6
A plane-wave DFT calculation with PBE was carried out for an optimized crystal structure of SrCd2Pd4.

Geometry as POSCAR:
```
SrCd2Pd4
1.0
-1.713 -4.056 3.486
2.421 -5.147 -0.276
2.538 -0.609 5.061
Pd Sr Cd
4 1 2
Direct
0.304 0.392 0.000
0.304 0.000 0.392
0.696 0.608 0.000
0.696 0.000 0.608
0.000 0.000 0.000
0.750 0.500 0.500
0.250 0.500 0.500
```

## Properties
M_tot: 0.00 Bohr magnetons per cell
energy: -3.8962 eV/atom
ΔH_f (0 K): -2.99 eV per formula unit
symmetry: I4/mmm (139)

No. 7
A plane-wave DFT calculation with PBE was carried out for an optimized crystal structure of Sr3Cd4Pd4.

Geometry as POSCAR:
```
Sr3Cd4Pd4
1.0
4.465 0.000 0.000
0.000 7.953 0.000
-2.232 -3.976 7.548
Sr Pd Cd
3 4 4
Direct
0.877 0.877 0.754
0.000 0.500 0.000
0.123 0.123 0.246
0.221 0.721 0.443
0.779 0.279 0.557
0.500 0.177 0.000
0.500 0.823 0.000
0.328 0.134 0.656
0.328 0.522 0.656
0.672 0.478 0.344
0.672 0.866 0.344
```

## Properties
M_tot: 0.00 Bohr magnetons per cell
energy: -3.2078 eV/atom
ΔH_f (0 K): -5.81 eV per formula unit
symmetry: Immm (71)

No. 8
A plane-wave DFT calculation with PBE was carried out for an optimized crystal structure of SrCd3Pd2.

Geometry as POSCAR:
```
SrCd3Pd2
1.0
5.909 0.000 0.000
0.000 6.688 -1.449
0.000 0.839 6.791
Cd Pd Sr
6 4 2
Direct
0.250 0.557 0.915
0.250 0.915 0.557
0.750 0.010 0.010
0.750 0.085 0.443
0.250 0.990 0.990
0.750 0.443 0.085
0.000 0.236 0.764
0.500 0.764 0.236
0.500 0.236 0.764
0.000 0.764 0.236
0.750 0.636 0.636
0.250 0.364 0.364
```

## Properties
M_tot: 0.00 Bohr magnetons per cell
energy: -2.9021 eV/atom
ΔH_f (0 K): -2.60 eV per formula unit
symmetry: Cmcm (63)

No. 9
A plane-wave DFT calculation with PBE was carried out for an optimized crystal structure of SrCd7Pd5.

Geometry as POSCAR:
```
SrCd7Pd5
1.0
-2.086 4.114 3.379
2.729 -0.252 6.829
3.974 6.188 -0.243
Cd Pd Sr
7 5 1
Direct
0.988 0.667 0.356
0.505 0.788 0.203
0.663 0.337 0.337
0.271 0.229 0.229
0.988 0.356 0.667
0.345 0.655 0.655
0.505 0.203 0.788
0.496 0.003 0.499
0.002 0.499 0.003
0.002 0.003 0.499
0.496 0.499 0.003
0.726 0.774 0.774
0.013 0.987 0.987
```

## Properties
M_tot: 0.00 Bohr magnetons per cell
energy: -3.0179 eV/atom
ΔH_f (0 K): -5.18 eV per formula unit
symmetry: Imm2 (44)

No. 10
A plane-wave DFT calculation with PBE was carried out for an optimized crystal structure of Sr2CdPd.

Geometry as POSCAR:
```
Sr2CdPd
1.0
-0.804 -0.696 -8.445
8.457 0.462 -0.844
4.058 -3.843 -4.360
Cd Sr Pd
2 4 2
Direct
0.000 0.000 0.000
0.750 0.250 0.500
0.586 0.125 0.250
0.375 0.414 0.750
0.875 0.836 0.750
0.164 0.625 0.250
0.250 0.750 0.500
0.500 0.500 0.000
```

## Properties
M_tot: 0.00 Bohr magnetons per cell
energy: -2.5530 eV/atom
ΔH_f (0 K): -0.74 eV per formula unit
symmetry: I-42d (122)

No. 11
A plane-wave DFT calculation with PBE was carried out for an optimized crystal structure of SrCd2Pd5.

Geometry as POSCAR:
```
SrCd2Pd5
1.0
4.209 0.000 0.000
2.105 6.734 1.422
2.105 2.635 6.358
Cd Sr Pd
2 1 5
Direct
0.775 0.725 0.725
0.225 0.275 0.275
0.000 0.000 0.000
0.614 0.598 0.174
0.614 0.174 0.598
0.000 0.500 0.500
0.386 0.826 0.402
0.386 0.402 0.826
```

## Properties
M_tot: 0.00 Bohr magnetons per cell
energy: -4.0016 eV/atom
ΔH_f (0 K): -2.54 eV per formula unit
symmetry: Immm (71)

No. 12
A plane-wave DFT calculation with PBE was carried out for an optimized crystal structure of SrCd4Pd8.

Geometry as POSCAR:
```
SrCd4Pd8
1.0
-2.837 3.988 -2.873
-6.054 -2.385 -2.939
-4.691 3.590 4.010
Cd Pd Sr
4 8 1
Direct
0.000 0.000 0.500
0.500 0.000 0.500
0.000 0.500 0.000
0.500 0.500 0.000
0.352 0.648 0.648
0.648 0.352 0.352
0.500 0.223 0.777
0.277 0.223 0.223
0.723 0.777 0.777
0.000 0.352 0.648
0.500 0.777 0.223
0.000 0.648 0.352
0.000 0.000 0.000
```

## Properties
M_tot: 0.00 Bohr magnetons per cell
energy: -3.9219 eV/atom
ΔH_f (0 K): -4.10 eV per formula unit
symmetry: I4/mmm (139)